Material: CeSc2Ru
Method: DFT, GGA-PBE
State: relaxed

a = 3.6961 Å, b = 11.2628 Å, c = 8.8832 Å
α = 90.00°, β = 90.00°, γ = 90.00°
With the nearest neighbours (Å) after each atom.
Fractional coordinates of all 16 atoms:
Ce1 0.0000 0.0716 0.2500  2 Ru 2.62
Ce2 0.0000 0.9284 0.7500  2 Ru 2.62
Ce3 0.5000 0.4284 0.7500  2 Ru 2.62
Ce4 0.5000 0.5716 0.2500  2 Ru 2.62
Sc1 0.0000 0.3550 0.0685  3 Ru 2.79-3.01
Sc2 0.0000 0.3550 0.4315  3 Ru 2.79-3.01
Sc3 0.0000 0.6450 0.5685  3 Ru 2.79-3.01
Sc4 0.0000 0.6450 0.9315  3 Ru 2.79-3.01
Sc5 0.5000 0.1450 0.5685  3 Ru 2.79-3.01
Sc6 0.5000 0.1450 0.9315  3 Ru 2.79-3.01
Sc7 0.5000 0.8550 0.0685  3 Ru 2.79-3.01
Sc8 0.5000 0.8550 0.4315  3 Ru 2.79-3.01
Ru1 0.0000 0.2631 0.7500  2 Ce 2.62, 4 Sc 2.79
Ru2 0.0000 0.7369 0.2500  2 Ce 2.62, 4 Sc 2.79
Ru3 0.5000 0.2369 0.2500  2 Ce 2.62, 4 Sc 2.79
Ru4 0.5000 0.7631 0.7500  2 Ce 2.62, 4 Sc 2.79

Summary:
**ΔH_f (0 K)**: -1.19 eV per formula unit
**Crystal system**: orthorhombic
**Energy above the lowest structure with this stoichiometry**: 0.13 eV/f.u.
**VASP energy**: -7.2661 eV per atom
**Space-group type**: Cmcm, No. 63
**Fermi-level density of states**: 1.865 states/eV per atom



Material: NiMoC
Method: DFT, GGA-PBE
State: relaxed

a = 9.7689 Å, b = 2.9200 Å, c = 4.6067 Å
α = 90.00°, β = 90.68°, γ = 90.00°
With the nearest neighbours (Å) after each atom.
Fractional coordinates of all 12 atoms:
Ni1 0.0000 0.0000 0.0000  2 C 1.91-1.92
Ni2 0.2144 0.0000 0.2986  3 C 1.92-1.96
Ni3 0.5000 0.5000 0.0000  2 C 1.91-1.92
Ni4 0.7144 0.5000 0.2986  3 C 1.92-1.96
Mo1 0.2418 0.5000 0.8014  3 C 2.09-2.15
Mo2 0.4655 0.0000 0.4953  4 C 2.12-2.29
Mo3 0.7418 0.0000 0.8014  3 C 2.09-2.15
Mo4 0.9655 0.5000 0.4953  4 C 2.12-2.29
C1 0.1052 0.0000 0.6532  2 Ni 1.91-1.96, 4 Mo 2.09-2.12
C2 0.3366 0.5000 0.2258  3 Ni 1.92
C3 0.6052 0.5000 0.6532  2 Ni 1.91-1.96, 4 Mo 2.09-2.12
C4 0.8366 0.0000 0.2258  3 Ni 1.92

Summary:
**ΔH_f (0 K)**: 0.25 eV per formula unit
**Crystal system**: monoclinic
**Energy above the lowest structure with this stoichiometry**: 0.09 eV/f.u.
**VASP energy**: -8.5289 eV per atom
**Space-group type**: Cm, No. 8
**Fermi-level density of states**: 0.656 states/eV per atom